{"formula": "Na2I2O7", "functional": "PBE-GGA", "state": "relaxed", "e_form_raw_ev_per_atom": -0.729, "mass_density_g_cm3": 3.55, "dft_energy_ev_per_atom": -4.4058, "relative_energy_ev_per_atom": 0.000, "lattice": [[5.8121, 0.3460, 0.0472], [0.0368, 5.7934, -0.9380], [0.3614, -0.5829, 5.8288]], "species": ["O", "I", "I", "Na", "O", "O", "O", "O", "O", "Na", "O"], "frac_coords": [[0.7234, 0.9971, 0.3285], [0.6263, 0.2767, 0.2767], [0.3963, 0.8154, 0.8154], [0.0421, 0.3143, 0.7093], [0.2081, 0.9375, 0.6356], [0.3602, 0.4384, 0.4384], [0.3566, 0.0805, 0.0805], [0.8133, 0.4667, 0.4667], [0.7234, 0.3285, 0.9971], [0.0421, 0.7093, 0.3143], [0.2081, 0.6356, 0.9375]]}



{"formula": "AcCuPd4", "functional": "PBE-GGA", "state": "relaxed", "mass_density_g_cm3": 10.37, "dft_energy_ev_per_atom": -5.2399, "relative_energy_ev_per_atom": 0.060, "delta_e_f_mev_per_atom": -410.5, "lattice": [[5.4544, 0.0000, 0.0000], [2.7272, 4.7236, 0.0000], [2.7272, 1.5745, 4.4535]], "species": ["Pd", "Pd", "Pd", "Pd", "Ac", "Cu"], "frac_coords": [[0.1229, 0.6257, 0.6257], [0.6257, 0.6257, 0.1229], [0.6257, 0.1229, 0.6257], [0.6257, 0.6257, 0.6257], [0.2500, 0.2500, 0.2500], [0.0000, 0.0000, 0.0000]]}



{"formula": "Cr2CoNi", "functional": "PBE-GGA", "state": "relaxed", "mass_density_g_cm3": 8.37, "dft_energy_ev_per_atom": -7.9845, "relative_energy_ev_per_atom": 0.020, "delta_e_f_mev_per_atom": 49.0, "lattice": [[4.4050, -0.0063, -0.0135], [1.6854, 4.0698, 0.0135], [-3.0372, -2.0437, 2.4501]], "species": ["Cr", "Ni", "Cr", "Co"], "frac_coords": [[0.0000, 0.0000, 0.0000], [0.7500, 0.2500, 0.5000], [0.5000, 0.5000, 0.0000], [0.2500, 0.7500, 0.5000]]}



{"formula": "CsSc2H", "functional": "PBE-GGA", "state": "relaxed", "mass_density_g_cm3": 3.23, "dft_energy_ev_per_atom": -3.8366, "relative_energy_ev_per_atom": 0.180, "lattice": [[-2.3398, -1.5580, -6.2783], [6.3723, -1.7035, -1.9521], [1.2299, -6.2106, -2.6856]], "species": ["Cs", "Cs", "H", "Sc", "Sc", "Sc", "H", "Sc"], "frac_coords": [[0.7500, 0.2500, 0.5000], [0.0000, 0.0000, 0.0000], [0.2500, 0.7500, 0.5000], [0.3759, 0.1250, 0.2500], [0.8750, 0.6259, 0.7500], [0.3741, 0.6250, 0.2500], [0.5000, 0.5000, 0.0000], [0.3750, 0.6241, 0.7500]]}



{"formula": "Rb3BS", "functional": "PBE-GGA", "state": "relaxed", "e_form_raw_ev_per_atom": 0.406, "mass_density_g_cm3": 1.94, "dft_energy_ev_per_atom": -2.3360, "relative_energy_ev_per_atom": 0.000, "lattice": [[-2.3411, 3.7376, 4.5709], [-5.2910, 0.8544, -3.4086], [-2.6206, -5.0640, 2.7985]], "species": ["Rb", "S", "Rb", "Rb", "B"], "frac_coords": [[0.5000, 0.0000, 0.0000], [0.0000, 0.0000, 0.0000], [0.0000, 0.0000, 0.5000], [0.0000, 0.5000, 0.0000], [0.5000, 0.5000, 0.5000]]}



{"formula": "KGaPb", "functional": "PBE-GGA", "state": "relaxed", "mass_density_g_cm3": 5.00, "dft_energy_ev_per_atom": -2.6735, "delta_e_f_mev_per_atom": -62.6, "lattice": [[6.0714, 0.0000, 0.0452], [0.0000, 4.3806, 0.0000], [-1.4336, 0.0000, 7.8877]], "species": ["K", "Ga", "Pb", "K", "Ga", "Pb"], "frac_coords": [[0.2778, 0.2500, 0.1365], [0.6279, 0.2500, 0.5280], [0.8791, 0.7500, 0.3524], [0.7222, 0.7500, 0.8635], [0.3721, 0.7500, 0.4720], [0.1209, 0.2500, 0.6476]]}



{"formula": "PmSm2Y", "functional": "PBE-GGA", "state": "relaxed", "mass_density_g_cm3": 6.55, "dft_energy_ev_per_atom": -5.0258, "relative_energy_ev_per_atom": 0.128, "delta_e_f_mev_per_atom": 137.4, "lattice": [[5.7649, 0.0000, 0.0000], [2.8825, 4.9926, 0.0000], [2.8825, 1.6642, 4.7070]], "species": ["Sm", "Pm", "Y", "Sm"], "frac_coords": [[0.2500, 0.2500, 0.2500], [0.5000, 0.5000, 0.5000], [0.0000, 0.0000, 0.0000], [0.7500, 0.7500, 0.7500]]}



{"formula": "PrGa4NiRu2", "functional": "PBE-GGA", "state": "relaxed", "mass_density_g_cm3": 8.31, "dft_energy_ev_per_atom": -5.5808, "delta_e_f_mev_per_atom": -428.3, "lattice": [[-0.2819, 3.9297, -1.5530], [0.1236, 0.6369, -4.1849], [-8.7706, 0.7484, -2.2879]], "species": ["Ru", "Ga", "Ni", "Ru", "Ga", "Ga", "Ga", "Pr"], "frac_coords": [[0.2293, 0.2293, 0.3120], [0.1318, 0.1318, 0.6048], [0.5000, 0.5000, 0.5000], [0.7707, 0.7707, 0.6880], [0.4043, 0.4043, 0.7872], [0.5957, 0.5957, 0.2128], [0.8682, 0.8682, 0.3952], [0.0000, 0.0000, 0.0000]]}